DFT (GGA-PBEsol) results for a relaxed HgPb2Cl crystal.

Summary:
- Energy above the most stable polymorph in this dataset: 0.0 kJ/mol of atoms
- Formation energy without anion corrections: -100 kJ/mol of formula units
- V: 28.17 Å³/atom
- M_tot: 0.0 μB per cell
- D(E_F): 0.8 states/eV/f.u.

Cell lengths 3.4609, 5.6810, 5.7301 Å; angles 90.00, 90.00, 90.00 degrees
With the nearest neighbours (Å) after each atom.
Element x y z (fractional)
1 Pb 0.0000 0.0000 0.1215  2 Cl 2.86-2.87
2 Pb 0.5000 0.5000 0.1283  2 Hg 2.86-2.87
3 Hg 0.5000 0.5000 0.6285  2 Pb 2.86-2.87
4 Cl 0.0000 0.0000 0.6217  2 Pb 2.86-2.87



DFT (GGA-PBEsol) results for a relaxed MgRePb crystal.

Summary:
- Energy above the most stable polymorph in this dataset: 0.0 kJ/mol of atoms
- Energy of formation: 0.72 eV/atom
- V: 20.29 Å³/atom
- M_tot: 0.0 μB per cell
- D(E_F): 3.2 states/eV/f.u.

Cell lengths 3.0173, 3.0173, 7.0167 Å; angles 102.42, 102.42, 90.00 degrees
With the nearest neighbours (Å) after each atom.
Element x y z (fractional)
1 Mg 0.9744 0.9744 0.9487  4 Re 2.79, 4 Mg 3.02
2 Pb 0.6855 0.6855 0.3709  4 Re 2.97, 4 Pb 3.02
3 Re 0.3402 0.3402 0.6804  4 Mg 2.79, 4 Pb 2.97, 4 Re 3.02



DFT (GGA-PBEsol) results for a relaxed Ca2LaSc crystal.

Summary:
- Energy above the most stable polymorph in this dataset: 10.5 kJ/mol of atoms
- Energy of formation: 0.20 eV/atom
- V: 33.28 Å³/atom
- M_tot: 0.0 μB per cell
- D(E_F): 7.3 states/eV/f.u.

Cell lengths 3.4732, 3.4732, 11.8663 Å; angles 90.00, 90.00, 111.59 degrees
With the nearest neighbours (Å) after each atom.
Element x y z (fractional)
1 Sc 0.5000 0.5000 0.0000  4 Ca 3.40, 4 Sc 3.47
2 Ca 0.0000 0.0000 0.2343  2 Sc 3.40, 4 Ca 3.47, 2 La 3.71
3 Ca 0.0000 0.0000 0.7657  2 Sc 3.40, 4 Ca 3.47, 2 La 3.71
4 La 0.5000 0.5000 0.5000  4 La 3.47, 4 Ca 3.71



DFT (GGA-PBEsol) results for a relaxed LiSn3Br crystal.

Summary:
- Formation energy without anion corrections: 70 kJ/mol of formula units
- V: 25.91 Å³/atom
- M_tot: 0.0 μB per cell
- D(E_F): 5.0 states/eV/f.u.

Cell lengths 5.0599, 5.0599, 5.0599 Å; angles 90.00, 90.00, 90.00 degrees
With the nearest neighbours (Å) after each atom.
Element x y z (fractional)
1 Sn 0.0000 0.5000 0.0000  2 Li 2.53
2 Sn 0.0000 0.0000 0.5000  2 Li 2.53
3 Sn 0.5000 0.0000 0.0000  2 Li 2.53
4 Br 0.5000 0.5000 0.5000  12 Sn 3.58
5 Li 0.0000 0.0000 0.0000  6 Sn 2.53